Entry 1:
Density functional theory data (PBE-GGA) for an optimized crystal structure of ErSnPb.

```
ErSnPb
1.0
5.398 0.000 0.000
-2.699 4.675 0.000
0.000 0.000 3.349
Er Sn Pb
1 1 1
Direct
0.000 0.000 0.000 Er
0.333 0.667 0.512 Sn
0.667 0.333 0.489 Pb
```

Results
Energy of formation   -0.222 eV/atom
Symmetry   P3m1, No. 156
Energy above the lowest structure with this stoichiometry   0.226 eV per atom



Entry 2:
Density functional theory data (PBE-GGA) for an optimized crystal structure of TcMoOs.

```
TcMoOs
1.0
4.373 0.000 0.000
-2.187 3.787 0.000
0.000 0.000 5.491
Tc Mo Os
2 2 2
Direct
0.000 0.000 0.000 Tc
0.000 0.000 0.500 Tc
0.333 0.667 0.250 Mo
0.667 0.333 0.750 Mo
0.333 0.667 0.750 Os
0.667 0.333 0.250 Os
```

Results
Energy of formation   0.124 eV/atom
Symmetry   P6_3/mmc, No. 194
Energy above the lowest structure with this stoichiometry   0.069 eV per atom



Entry 3:
Density functional theory data (PBE-GGA) for an optimized crystal structure of Li2NbSb2.

```
Li2NbSb2
1.0
-1.792 1.792 7.494
1.792 -1.792 7.494
1.792 1.792 -7.494
Li Nb Sb
2 1 2
Direct
0.250 0.750 0.500 Li
0.750 0.250 0.500 Li
0.000 0.000 0.000 Nb
0.394 0.394 0.000 Sb
0.606 0.606 0.000 Sb
```

Results
Formation energy from raw total energies   -0.20 eV/atom
Symmetry   I4/mmm, No. 139
Energy above the lowest structure with this stoichiometry   0.000 eV per atom



Entry 4:
Density functional theory data (PBE-GGA) for an optimized crystal structure of LiTlCo2.

```
LiTlCo2
1.0
-1.829 1.829 9.267
1.829 -1.829 9.267
1.829 1.829 -9.267
Li Tl Co
2 2 4
Direct
0.000 0.000 0.000 Li
0.750 0.250 0.500 Li
0.250 0.750 0.500 Tl
0.500 0.500 0.000 Tl
0.074 0.625 0.949 Co
0.375 0.324 0.449 Co
0.676 0.125 0.051 Co
0.875 0.926 0.551 Co
```

Results
Energy of formation   0.510 eV/atom
Symmetry   I-42d, No. 122